K4CuSb2Au | GGA-PBE | optimized geometry

It has space group C2/m (No. 12), with a = 7.959 Å, b = 10.604 Å, c = 6.409 Å, α = 90.00°, β = 91.11° and γ = 90.00°. The distinct sites, in fractional coordinates, are K at (0.162, 0.170, 0.252), Cu at (0.000, 0.500, 0.000), Sb at (0.241, 0.000, 0.764) and Au at (0.000, 0.500, 0.500).

For the total energy, the calculation gives -2.88 eV/atom.